La2Tb2Er: optimized geometry, PBE.

The energy of formation from the pure elements comes out at 29.7 meV per atom. The calculation puts the raw total energy at -4.71 eV/atom. As for the total magnetization: 0.00 μB/cell. Its density of states at the Fermi level is 1.71 states/eV/atom. Its crystal system is monoclinic.

The structure belongs to space group C2/c (No. 15); the cell edges are 16.001, 6.401 and 6.858 Å and the angles 90.00°, 104.02° and 90.00°. The distinct sites, in fractional coordinates, are La at (0.198, 0.086, 0.151), Tb at (0.096, 0.417, 0.451) and Er at (0.000, 0.084, 0.750).

K2AlTlSb2: optimized geometry, PBE.

The calculation puts the raw total energy at -3.08 eV/atom. As for the total magnetization: 0.00 μB/cell. Its density of states at the Fermi level is 0.20 states/eV/atom. Its crystal system is orthorhombic. The uncorrected formation energy comes out at -326.7 meV/atom.

The structure belongs to space group Ibam (No. 72); the cell edges are 7.579, 15.854 and 7.045 Å and the angles 90.00°, 90.00° and 90.00°. The distinct sites, in fractional coordinates, are K at (0.230, 0.169, 0.000), Al at (0.000, 0.500, 0.250), Tl at (0.000, 0.000, 0.250) and Sb at (0.184, 0.397, 0.000).

PrCoIr: optimized geometry, PBE.

The energy of formation from the pure elements comes out at -362.3 meV per atom. The calculation puts the raw total energy at -7.28 eV/atom. As for the total magnetization: 3.64 μB/cell. Its density of states at the Fermi level is 1.12 states/eV/atom. Its crystal system is orthorhombic.

The structure belongs to space group Imma (No. 74); the cell edges are 5.224, 5.488 and 7.478 Å and the angles 90.00°, 90.00° and 90.00°. The distinct sites, in fractional coordinates, are Pr at (0.000, 0.250, 0.123), Co at (0.250, 0.250, 0.750) and Ir at (0.000, 0.000, 0.500).

PmDy2PuN4: optimized geometry, PBE.

The calculation puts the raw total energy at -9.20 eV/atom. As for the total magnetization: 4.72 μB/cell. Its density of states at the Fermi level is 0.91 states/eV/atom. Its crystal system is monoclinic. The uncorrected formation energy comes out at -1505.6 meV/atom.

The structure belongs to space group P2/m (No. 10); the cell edges are 6.062, 3.514 and 6.066 Å and the angles 90.00°, 109.37° and 90.00°. The distinct sites, in fractional coordinates, are Pm at (0.000, 0.000, 0.000), Dy at (0.500, 0.000, 0.500), Dy at (0.500, 0.500, 0.000), Pu at (0.000, 0.500, 0.500), N at (0.248, 0.000, 0.740) and N at (0.253, 0.500, 0.261).

Ti5MnIr4: optimized geometry, PBE.

The energy of formation from the pure elements comes out at -749.4 meV per atom. The calculation puts the raw total energy at -9.16 eV/atom. As for the total magnetization: 0.00 μB/cell. Its density of states at the Fermi level is 0.84 states/eV/atom. Its crystal system is tetragonal.

The structure belongs to space group P4/mmm (No. 123); the cell edges are 2.986, 2.986 and 16.492 Å and the angles 90.00°, 90.00° and 90.00°. The distinct sites, in fractional coordinates, are Ti at (0.000, 0.000, 0.000), Ti at (0.000, 0.000, 0.210), Ti at (0.000, 0.000, 0.413), Mn at (0.500, 0.500, 0.500), Ir at (0.500, 0.500, 0.111) and Ir at (0.500, 0.500, 0.312).

SrAcZn: optimized geometry, PBE.

The energy of formation from the pure elements comes out at -132.1 meV per atom. The calculation puts the raw total energy at -2.49 eV/atom. The distance to the lowest polymorph of the same formula is 0.000 eV/atom. As for the total magnetization: 0.00 μB/cell. Its density of states at the Fermi level is 0.82 states/eV/atom. Its crystal system is tetragonal.

The structure belongs to space group I4mm (No. 107); the cell edges are 3.930, 3.930 and 14.174 Å and the angles 90.00°, 90.00° and 90.00°. The distinct sites, in fractional coordinates, are Sr at (0.000, 0.000, 0.000), Ac at (0.000, 0.000, 0.268) and Zn at (0.000, 0.000, 0.640).

Li8Ga6Rh: optimized geometry, PBE.

The energy of formation from the pure elements comes out at -282.8 meV per atom. The calculation puts the raw total energy at -3.00 eV/atom. As for the total magnetization: 0.00 μB/cell. Its density of states at the Fermi level is 0.31 states/eV/atom. Its crystal system is trigonal.

The structure belongs to space group R-3 (No. 148, hexagonal axes); the cell edges are 6.8953, 6.8953 and 17.1810 Å and the angles 90.00°, 90.00° and 120.00°. The distinct sites, in fractional coordinates, are Li at (0.0000, 0.0000, 0.0853), Li at (0.0494, 0.2596, 0.6284), Ga at (0.0161, 0.7525, 0.2108) and Rh at (0.0000, 0.0000, 0.5000).

NdP2Rh3: optimized geometry, PBE.

The energy of formation from the pure elements comes out at -1035.1 meV per atom. The calculation puts the raw total energy at -7.31 eV/atom. As for the total magnetization: 0.00 μB/cell. Its density of states at the Fermi level is 0.45 states/eV/atom. Its crystal system is monoclinic.

The structure belongs to space group C2/m (No. 12); the cell edges are 15.955, 3.922 and 9.748 Å and the angles 90.00°, 107.79° and 90.00°. The distinct sites, in fractional coordinates, are Nd at (0.000, 0.000, 0.000), Nd at (0.154, 0.000, 0.694), P at (0.037, 0.500, 0.777), P at (0.137, 0.500, 0.450), P at (0.199, 0.000, 0.131), Rh at (0.000, 0.500, 0.500), Rh at (0.043, 0.000, 0.328), Rh at (0.129, 0.500, 0.209), Rh at (0.177, 0.500, 0.956) and Rh at (0.223, 0.000, 0.395).

PaGaAs: optimized geometry, PBE.

The energy of formation from the pure elements comes out at -355.2 meV per atom. The calculation puts the raw total energy at -6.08 eV/atom. The distance to the lowest polymorph of the same formula is 0.366 eV/atom. As for the total magnetization: 0.00 μB/cell. Its density of states at the Fermi level is 0.02 states/eV/atom. Its crystal system is trigonal.

The structure belongs to space group R-3m (No. 166, hexagonal axes); the cell edges are 4.6423, 4.6423 and 24.9042 Å and the angles 90.00°, 90.00° and 120.00°. The distinct sites, in fractional coordinates, are Pa at (0.0000, 0.0000, 0.2388), Ga at (0.0000, 0.0000, 0.3599) and As at (0.0000, 0.0000, 0.1225).

ZrAlTc: optimized geometry, PBE.

The energy of formation from the pure elements comes out at -161.5 meV per atom. The calculation puts the raw total energy at -7.71 eV/atom. The distance to the lowest polymorph of the same formula is 0.347 eV/atom. As for the total magnetization: 0.00 μB/cell. Its density of states at the Fermi level is 0.64 states/eV/atom. Its crystal system is orthorhombic.

The structure belongs to space group Fmm2 (No. 42); the cell edges are 3.434, 4.740 and 12.869 Å and the angles 90.00°, 90.00° and 90.00°. The distinct sites, in fractional coordinates, are Zr at (0.000, 0.000, 0.000), Al at (0.000, 0.000, 0.314) and Tc at (0.000, 0.000, 0.665).

NiHgPt2: optimized geometry, PBE.

The energy of formation from the pure elements comes out at 109.0 meV per atom. The calculation puts the raw total energy at -4.43 eV/atom. As for the total magnetization: 1.75 μB/cell. Its density of states at the Fermi level is 1.09 states/eV/atom. Its crystal system is orthorhombic.

The structure belongs to space group Cmmm (No. 65); the cell edges are 5.668, 7.849 and 2.871 Å and the angles 90.00°, 90.00° and 90.00°. The distinct sites, in fractional coordinates, are Ni at (0.000, 0.000, 0.000), Hg at (0.000, 0.500, 0.000) and Pt at (0.250, 0.250, 0.500).

Pr6Ir2PtBr2: optimized geometry, PBE.

The calculation puts the raw total energy at -6.03 eV/atom. As for the total magnetization: 0.00 μB/cell. Its density of states at the Fermi level is 0.49 states/eV/atom. Its crystal system is monoclinic. The uncorrected formation energy comes out at -957.1 meV/atom.

The structure belongs to space group C2/m (No. 12); the cell edges are 7.360, 12.682 and 7.943 Å and the angles 90.00°, 107.88° and 90.00°. The distinct sites, in fractional coordinates, are Pr at (0.222, 0.000, 0.199), Pr at (0.241, 0.332, 0.203), Ir at (0.000, 0.170, 0.000), Pt at (0.000, 0.500, 0.000) and Br at (0.000, 0.334, 0.500).

Sm2Al4Ag3Hg: optimized geometry, PBE.

The energy of formation from the pure elements comes out at -335.5 meV per atom. The calculation puts the raw total energy at -3.66 eV/atom. As for the total magnetization: 0.00 μB/cell. Its density of states at the Fermi level is 0.47 states/eV/atom. Its crystal system is tetragonal.

The structure belongs to space group P-4m2 (No. 115); the cell edges are 4.395, 4.395 and 10.851 Å and the angles 90.00°, 90.00° and 90.00°. The distinct sites, in fractional coordinates, are Sm at (0.000, 0.500, 0.247), Al at (0.000, 0.000, 0.000), Al at (0.000, 0.500, 0.642), Al at (0.500, 0.500, 0.000), Ag at (0.000, 0.500, 0.871), Ag at (0.500, 0.500, 0.500) and Hg at (0.000, 0.000, 0.500).

BaLiMg10: optimized geometry, PBE.

The energy of formation from the pure elements comes out at 39.3 meV per atom. The calculation puts the raw total energy at -1.61 eV/atom. As for the total magnetization: 0.00 μB/cell. Its density of states at the Fermi level is 0.56 states/eV/atom. Its crystal system is orthorhombic.

The structure belongs to space group Pmmm (No. 47); the cell edges are 5.186, 5.959 and 10.761 Å and the angles 90.00°, 90.00° and 90.00°. The distinct sites, in fractional coordinates, are Ba at (0.000, 0.000, 0.000), Li at (0.000, 0.500, 0.500), Mg at (0.000, 0.000, 0.347), Mg at (0.000, 0.500, 0.193), Mg at (0.500, 0.000, 0.500), Mg at (0.500, 0.247, 0.250) and Mg at (0.500, 0.500, 0.000).

CaAs2: optimized geometry, PBE.

The energy of formation from the pure elements comes out at -208.0 meV per atom. The calculation puts the raw total energy at -3.97 eV/atom. As for the total magnetization: 0.00 μB/cell. Its density of states at the Fermi level is 0.21 states/eV/atom. Its crystal system is tetragonal.

The structure belongs to space group I4/mmm (No. 139); the cell edges are 3.004, 3.004 and 16.406 Å and the angles 90.00°, 90.00° and 90.00°. The distinct sites, in fractional coordinates, are Ca at (0.000, 0.000, 0.000) and As at (0.000, 0.000, 0.362).

TiNiHRh2: optimized geometry, PBE.

The calculation puts the raw total energy at -6.85 eV/atom. The distance to the lowest polymorph of the same formula is 0.000 eV/atom. As for the total magnetization: 0.01 μB/cell. Its density of states at the Fermi level is 0.81 states/eV/atom. Its crystal system is tetragonal.

The structure belongs to space group P4/mmm (No. 123); the cell edges are 3.929, 3.929 and 3.665 Å and the angles 90.00°, 90.00° and 90.00°. The distinct sites, in fractional coordinates, are Ti at (0.000, 0.000, 0.000), Ni at (0.500, 0.500, 0.000), H at (0.500, 0.500, 0.500) and Rh at (0.000, 0.500, 0.500).

Pm5Y12Th3: optimized geometry, PBE.

The energy of formation from the pure elements comes out at 1093.5 meV per atom. The calculation puts the raw total energy at -5.09 eV/atom. As for the total magnetization: 16.33 μB/cell. Its density of states at the Fermi level is 1.99 states/eV/atom. Its crystal system is cubic.

The structure belongs to space group Ia-3d (No. 230); the cell edges are 18.941, 18.941 and 18.941 Å and the angles 90.00°, 90.00° and 90.00°. The distinct sites, in fractional coordinates, are Pm at (0.000, 0.000, 0.000), Pm at (0.000, 0.250, 0.375), Y at (0.004, 0.079, 0.649) and Th at (0.000, 0.250, 0.125).

CdGa2Co: optimized geometry, PBE.

The energy of formation from the pure elements comes out at 249.9 meV per atom. The calculation puts the raw total energy at -3.27 eV/atom. As for the total magnetization: 2.88 μB/cell. Its density of states at the Fermi level is 1.46 states/eV/atom. Its crystal system is tetragonal.

The structure belongs to space group I-42d (No. 122); the cell edges are 4.071, 4.071 and 17.354 Å and the angles 90.00°, 90.00° and 90.00°. The distinct sites, in fractional coordinates, are Cd at (0.000, 0.000, 0.000), Ga at (0.194, 0.250, 0.625) and Co at (0.000, 0.000, 0.500).

K5PdPb6: optimized geometry, PBE.

The energy of formation from the pure elements comes out at -150.3 meV per atom. The calculation puts the raw total energy at -2.89 eV/atom. As for the total magnetization: 0.00 μB/cell. Its density of states at the Fermi level is 0.68 states/eV/atom. Its crystal system is monoclinic.

The structure belongs to space group C2/m (No. 12); the cell edges are 7.340, 16.055 and 8.805 Å and the angles 90.00°, 112.58° and 90.00°. The distinct sites, in fractional coordinates, are K at (0.000, 0.000, 0.000), K at (0.000, 0.291, 0.000), K at (0.000, 0.360, 0.500), Pd at (0.000, 0.000, 0.500), Pb at (0.047, 0.145, 0.686) and Pb at (0.129, 0.500, 0.223).